Record 1
# Mn3OF5 | Alexandria | PBE with a Hubbard U | relaxed
data_Mn3OF5
_chemical_formula_sum 'Mn12 O4 F20'
_cell_length_a 6.782
_cell_length_b 7.000
_cell_length_c 9.786
_cell_angle_alpha 90.00
_cell_angle_beta 90.52
_cell_angle_gamma 90.00
_symmetry_space_group_name_H-M 'C 1 2/m 1'
_symmetry_Int_Tables_number 12
_symmetry_space_group_name_Hall '-C 2y'
loop_
_atom_site_label
_atom_site_type_symbol
_atom_site_fract_x
_atom_site_fract_y
_atom_site_fract_z
Mn1 Mn 0.000 0.000 0.000
Mn2 Mn 0.000 0.500 0.500
Mn3 Mn 0.001 0.000 0.323
Mn4 Mn 0.033 0.500 0.837
O1 O 0.172 0.000 0.157
F1 F 0.000 0.297 0.000
F2 F 0.013 0.304 0.668
F3 F 0.190 0.000 0.506
F4 F 0.220 0.000 0.840
# Electronic total energy ... -6.50 eV/atom
# Density of states at the Fermi level ... 0.223 states/eV/atom

---

Record 2
# Mn4O3F | Alexandria | PBE with a Hubbard U | relaxed
data_Mn4O3F
_chemical_formula_sum 'Mn8 O6 F2'
_cell_length_a 6.544
_cell_length_b 9.116
_cell_length_c 3.252
_cell_angle_alpha 90.00
_cell_angle_beta 90.00
_cell_angle_gamma 90.00
_symmetry_space_group_name_H-M 'C m m m'
_symmetry_Int_Tables_number 65
_symmetry_space_group_name_Hall '-C 2 2'
loop_
_atom_site_label
_atom_site_type_symbol
_atom_site_fract_x
_atom_site_fract_y
_atom_site_fract_z
Mn1 Mn 0.000 0.243 0.000
Mn2 Mn 0.232 0.000 0.500
O1 O 0.000 0.000 0.000
O2 O 0.250 0.250 0.500
F1 F 0.000 0.500 0.000
# Electronic total energy ... -7.31 eV/atom
# Density of states at the Fermi level ... 0.257 states/eV/atom

---

Record 3
# Mn6O5F7 | Alexandria | PBE with a Hubbard U | relaxed
data_Mn6O5F7
_chemical_formula_sum 'Mn6 O5 F7'
_cell_length_a 4.795
_cell_length_b 5.781
_cell_length_c 7.917
_cell_angle_alpha 84.40
_cell_angle_beta 86.92
_cell_angle_gamma 84.18
_symmetry_space_group_name_H-M 'P 1'
_symmetry_Int_Tables_number 1
_symmetry_space_group_name_Hall 'P 1'
loop_
_atom_site_label
_atom_site_type_symbol
_atom_site_fract_x
_atom_site_fract_y
_atom_site_fract_z
Mn1 Mn 0.000 0.000 0.000
Mn2 Mn 0.001 0.676 0.321
Mn3 Mn 0.483 0.182 0.344
Mn4 Mn 0.519 0.838 0.643
Mn5 Mn 0.548 0.542 0.010
Mn6 Mn 0.997 0.343 0.664
O1 O 0.293 0.130 0.564
O2 O 0.306 0.471 0.233
O3 O 0.712 0.893 0.427
O4 O 0.714 0.556 0.758
O5 O 0.837 0.736 0.098
F1 F 0.176 0.281 0.897
F2 F 0.193 0.632 0.546
F3 F 0.232 0.973 0.205
F4 F 0.301 0.806 0.866
F5 F 0.714 0.217 0.123
F6 F 0.787 0.055 0.783
F7 F 0.802 0.383 0.442
# Electronic total energy ... -6.66 eV/atom
# Density of states at the Fermi level ... 0.035 states/eV/atom

---

What did the second record say?
# Mn4O3F | Alexandria | PBE with a Hubbard U | relaxed
data_Mn4O3F
_chemical_formula_sum 'Mn8 O6 F2'
_cell_length_a 6.544
_cell_length_b 9.116
_cell_length_c 3.252
_cell_angle_alpha 90.00
_cell_angle_beta 90.00
_cell_angle_gamma 90.00
_symmetry_space_group_name_H-M 'C m m m'
_symmetry_Int_Tables_number 65
_symmetry_space_group_name_Hall '-C 2 2'
loop_
_atom_site_label
_atom_site_type_symbol
_atom_site_fract_x
_atom_site_fract_y
_atom_site_fract_z
Mn1 Mn 0.000 0.243 0.000
Mn2 Mn 0.232 0.000 0.500
O1 O 0.000 0.000 0.000
O2 O 0.250 0.250 0.500
F1 F 0.000 0.500 0.000
# Electronic total energy ... -7.31 eV/atom
# Density of states at the Fermi level ... 0.257 states/eV/atom

---

Question: Which formula does entry 3 have?
Answer: Mn6O5F7

---

Question: The highest density of states at the Fermi level belongs to which entry?
Answer: Mn4O3F

---

Question: Among the records above, which one has the highest density of states at the Fermi level?
Answer: Mn4O3F